# HfV2CuPb

HfV2CuPb after structural relaxation (PBE-GGA, Alexandria).

abc: 5.023 4.653 5.023
angles: 90.00 90.00 90.00
Atoms (fractional coordinates):
V  0.000  0.000  0.500
Pb  0.000  0.000  0.000
V  0.500  0.000  0.000
Hf  0.500  0.500  0.500
Cu  0.000  0.500  0.000

The value obtained for the density of states at the Fermi level is 6.36 states/eV per cell. The formation energy comes out at 1.55 eV per atom. As for the total magnetization: 0.872 μB per atom. The space group is P4/mmm (123).


# Hf2Cu2Pd

Hf2Cu2Pd after structural relaxation (PBE-GGA, Alexandria).

abc: 7.685 7.685 2.940
angles: 90.00 90.00 90.00
Atoms (fractional coordinates):
Cu  0.884  0.384  0.500
Hf  0.319  0.819  0.000
Hf  0.181  0.319  0.000
Pd  0.500  0.500  0.000
Hf  0.819  0.681  0.000
Cu  0.616  0.884  0.500
Cu  0.384  0.116  0.500
Hf  0.681  0.181  0.000
Pd  0.000  0.000  0.000
Cu  0.116  0.616  0.500

The value obtained for the density of states at the Fermi level is 7.76 states/eV per cell. As for the energy relative to the lowest polymorph listed for this composition: 0.327 eV/atom. The formation energy comes out at 0.01 eV per atom. As for the total magnetization: 0.000 μB per atom. The space group is P4/mbm (127).


# HfCu5Pd8

HfCu5Pd8 after structural relaxation (PBE-GGA, Alexandria).

abc: 6.533 6.533 6.533
angles: 110.24 107.94 110.24
Atoms (fractional coordinates):
Pd  0.338  0.267  0.411
Cu  0.500  0.000  0.500
Hf  0.250  0.500  0.750
Cu  0.298  0.091  0.962
Pd  0.589  0.927  0.856
Pd  0.749  0.263  0.348
Cu  0.038  0.336  0.129
Pd  0.144  0.733  0.071
Cu  0.793  0.664  0.702
Pd  0.929  0.073  0.662
Pd  0.652  0.401  0.916
Pd  0.084  0.737  0.485
Cu  0.871  0.909  0.207
Pd  0.515  0.599  0.251

The value obtained for the density of states at the Fermi level is 5.52 states/eV per cell. The formation energy comes out at -0.14 eV per atom. As for the total magnetization: 0.000 μB per atom. The space group is I-4 (82).


# HfCuPd2

HfCuPd2 after structural relaxation (PBE-GGA, Alexandria).

abc: 7.035 7.035 5.697
angles: 51.87 51.87 90.00
Atoms (fractional coordinates):
Cu  0.250  0.750  0.500
Pd  0.375  0.387  0.750
Hf  0.750  0.250  0.500
Pd  0.875  0.863  0.750
Pd  0.613  0.125  0.250
Hf  0.000  0.000  0.000
Cu  0.500  0.500  0.000
Pd  0.137  0.625  0.250

The value obtained for the density of states at the Fermi level is 4.28 states/eV per cell. The formation energy comes out at -0.19 eV per atom. As for the total magnetization: 0.000 μB per atom. The space group is I-42d (122).


# HfCu3Pd

HfCu3Pd after structural relaxation (PBE-GGA, Alexandria).

abc: 4.684 5.249 6.610
angles: 90.00 115.17 90.00
Atoms (fractional coordinates):
Cu  0.795  0.498  0.139
Cu  0.205  0.502  0.861
Cu  0.979  0.750  0.485
Pd  0.339  0.750  0.237
Cu  0.795  0.002  0.139
Pd  0.661  0.250  0.763
Hf  0.390  0.250  0.294
Cu  0.205  0.998  0.861
Hf  0.610  0.750  0.706
Cu  0.021  0.250  0.515

The value obtained for the density of states at the Fermi level is 5.23 states/eV per cell. As for the energy relative to the lowest polymorph listed for this composition: 0.000 eV/atom. The formation energy comes out at -0.21 eV per atom. As for the total magnetization: 0.000 μB per atom. The space group is P2_1/m (11).


# HfCu6Pd12

HfCu6Pd12 after structural relaxation (PBE-GGA, Alexandria).

abc: 6.780 7.257 7.257
angles: 69.24 71.85 108.15
Atoms (fractional coordinates):
Cu  0.954  0.315  0.474
Pd  0.476  0.154  0.731
Pd  0.834  0.945  0.429
Pd  0.524  0.846  0.269
Pd  0.737  0.571  0.373
Pd  0.111  0.373  0.055
Pd  0.207  0.731  0.115
Cu  0.361  0.789  0.685
Cu  0.428  0.474  0.211
Cu  0.046  0.685  0.526
Pd  0.889  0.627  0.945
Cu  0.639  0.211  0.315
Pd  0.793  0.269  0.885
Pd  0.678  0.885  0.846
Pd  0.322  0.115  0.154
Hf  0.000  0.000  0.000
Pd  0.166  0.055  0.571
Pd  0.263  0.429  0.627
Cu  0.572  0.526  0.789

The value obtained for the density of states at the Fermi level is 12.26 states/eV per cell. As for the energy relative to the lowest polymorph listed for this composition: 0.000 eV/atom. The formation energy comes out at -0.24 eV per atom. As for the total magnetization: 0.000 μB per atom. The space group is R-3 (148).